# 1
Below is crystalline La2AgBr at its relaxed geometry, with properties calculated at the PBE-GGA level.

Density ... 6318 kg/m3
Uncorrected formation energy ... -0.7236 eV per atom
Volume ... 30.59 A^3/atom
Distance to the lowest polymorph of the same formula ... 35 meV/atom

Cell and atoms, written as POSCAR:
```
La2AgBr
1.0
-4.0425 0.2260 -1.9975
-3.3333 -2.7599 1.2864
-4.4969 3.8491 4.4709
La Br Ag
2 1 1
direct
0.5013 0.5013 0.4968
0.9987 0.9987 0.0032
0.2500 0.2500 0.2500
0.7500 0.7500 0.7500
```

***

# 2
Below is crystalline Tm2CoAg at its relaxed geometry, with properties calculated at the PBE-GGA level.

Density ... 9176 kg/m3
Volume ... 22.83 A^3/atom
Distance to the lowest polymorph of the same formula ... 177 meV/atom
Energy of formation ... -0.11 eV per atom

Cell and atoms, written as POSCAR:
```
Tm2CoAg
1.0
3.7493 0.0000 0.0000
1.8747 3.2470 0.0000
1.8747 1.0823 7.5018
Tm Ag Co
2 1 1
direct
0.7329 0.7329 0.8013
0.2671 0.2671 0.1987
0.5000 0.5000 0.5000
0.0000 0.0000 0.0000
```

***

# 3
Below is crystalline Hg6Pd12Pt at its relaxed geometry, with properties calculated at the PBE-GGA level.

Density ... 13197 kg/m3
Volume ... 17.72 A^3/atom
Energy of formation ... -0.02 eV per atom

Cell and atoms, written as POSCAR:
```
Hg6Pd12Pt
1.0
7.1555 -0.2490 -0.2982
-1.3309 7.0350 -0.2982
-1.3309 -1.5506 6.8685
Pd Hg Pt
12 6 1
direct
0.4122 0.8131 0.4123
0.4123 0.4122 0.8131
0.7417 0.2582 0.9998
0.2582 0.9998 0.7417
0.7418 0.0002 0.2583
0.0002 0.2583 0.7418
0.1869 0.5877 0.5878
0.5877 0.5878 0.1869
0.2583 0.7418 0.0002
0.8131 0.4123 0.4122
0.5878 0.1869 0.5877
0.9998 0.7417 0.2582
0.1645 0.4292 0.1648
0.1648 0.1645 0.4292
0.5708 0.8352 0.8355
0.8355 0.5708 0.8352
0.8352 0.8355 0.5708
0.4292 0.1648 0.1645
0.0000 0.0000 0.0000
```

***

# 4
Below is crystalline MnRe2Ru at its relaxed geometry, with properties calculated at the PBE-GGA level.

Density ... 15405 kg/m3
Volume ... 14.24 A^3/atom
Distance to the lowest polymorph of the same formula ... 148 meV/atom
Energy of formation ... 0.15 eV per atom

Cell and atoms, written as POSCAR:
```
MnRe2Ru
1.0
5.0730 -0.0065 0.0044
2.3518 4.4949 -0.0044
-3.2863 -2.9491 2.4977
Ru Re Mn
1 2 1
direct
0.7500 0.2500 0.5000
0.4877 0.4877 0.0000
0.0123 0.0123 0.0000
0.2500 0.7500 0.5000
```

***

# 5
Below is crystalline Si3TcOs at its relaxed geometry, with properties calculated at the PBE-GGA level.

Density ... 6310 kg/m3
Uncorrected formation energy ... 1.0848 eV per atom
Volume ... 19.61 A^3/atom
Distance to the lowest polymorph of the same formula ... 0 meV/atom

Cell and atoms, written as POSCAR:
```
Si3TcOs
1.0
4.6109 0.0000 0.0000
0.0000 4.6109 0.0000
0.0000 0.0000 4.6109
Si Os Tc
3 1 1
direct
0.0000 0.5000 0.0000
0.5000 0.0000 0.0000
0.0000 0.0000 0.5000
0.0000 0.0000 0.0000
0.5000 0.5000 0.5000
```

***

# 6
Below is crystalline Na2LaAsPb at its relaxed geometry, with properties calculated at the PBE-GGA level.

Density ... 3598 kg/m3
Volume ... 43.11 A^3/atom
Energy of formation ... 0.52 eV per atom

Cell and atoms, written as POSCAR:
```
Na2LaAsPb
1.0
6.2747 0.0000 0.0000
0.0000 5.4750 0.0000
0.0000 0.0000 6.2747
Na La Pb As
2 1 1 1
direct
0.5000 0.0000 0.0000
0.0000 0.0000 0.5000
0.0000 0.0000 0.0000
0.5000 0.5000 0.5000
0.0000 0.5000 0.0000
```

***

# 7
Below is crystalline LiIn2Hg at its relaxed geometry, with properties calculated at the PBE-GGA level.

Density ... 7814 kg/m3
Volume ... 23.23 A^3/atom
Energy of formation ... -0.14 eV per atom

Cell and atoms, written as POSCAR:
```
LiIn2Hg
1.0
3.5896 0.0000 0.0000
0.0000 4.0745 0.0000
0.0000 0.0000 6.3519
Hg Li In
1 1 2
direct
0.5000 0.5000 0.7277
0.0000 0.0000 0.5139
0.0000 0.0000 0.9974
0.5000 0.5000 0.2609
```

***

# 8
Below is crystalline LaAgCl2 at its relaxed geometry, with properties calculated at the PBE-GGA level.

Density ... 4165 kg/m3
Uncorrected formation energy ... -1.2529 eV per atom
Volume ... 31.66 A^3/atom
Distance to the lowest polymorph of the same formula ... 59 meV/atom

Cell and atoms, written as POSCAR:
```
LaAgCl2
1.0
-3.4432 2.0289 -0.3152
-1.7346 -2.4643 3.0856
1.4541 3.4980 6.6305
La Ag Cl
1 1 2
direct
0.0000 0.2862 0.5509
0.5000 0.6881 0.7468
0.0000 0.1059 0.9152
0.5000 0.4199 0.2870
```